The following is a PBE calculation of an optimized crystal structure of BaPu2Se4, from OQMD.

Results
E_tot: -8.009 eV/atom

Cell and atoms, written as CIF:
```
data_BaPu2Se4
_cell_length_a 4.2734
_cell_length_b 13.7742
_cell_length_c 14.2559
_cell_angle_alpha 90.00
_cell_angle_beta 90.00
_cell_angle_gamma 90.00
_symmetry_space_group_name_H-M 'C m c m'
_symmetry_Int_Tables_number 63
_symmetry_space_group_name_Hall '-C 2c 2'
loop_
_atom_site_label
_atom_site_type_symbol
_atom_site_fract_x
_atom_site_fract_y
_atom_site_fract_z
Ba1 Ba 0.0000 0.1090 0.2500
Pu1 Pu 0.0000 0.3666 0.0631
Se1 Se 0.0000 0.0000 0.0000
Se2 Se 0.0000 0.2652 0.6132
Se3 Se 0.0000 0.4335 0.2500
```



The following is a PBE calculation of an optimized crystal structure of BaSmPu, from OQMD.

Results
E_tot: -5.992 eV/atom

Cell and atoms, written as CIF:
```
data_BaSmPu
_cell_length_a 8.1879
_cell_length_b 8.1879
_cell_length_c 8.1879
_cell_angle_alpha 90.00
_cell_angle_beta 90.00
_cell_angle_gamma 90.00
_symmetry_space_group_name_H-M 'F -4 3 m'
_symmetry_Int_Tables_number 216
_symmetry_space_group_name_Hall 'F -4 2 3'
loop_
_atom_site_label
_atom_site_type_symbol
_atom_site_fract_x
_atom_site_fract_y
_atom_site_fract_z
Ba1 Ba 0.0000 0.0000 0.0000
Sm1 Sm 0.2500 0.2500 0.2500
Pu1 Pu 0.0000 0.0000 0.5000
```



The following is a PBE calculation of an optimized crystal structure of BaTbPu, from OQMD.

Results
E_tot: -5.956 eV/atom

Cell and atoms, written as CIF:
```
data_BaTbPu
_cell_length_a 7.8571
_cell_length_b 7.8571
_cell_length_c 7.8571
_cell_angle_alpha 90.00
_cell_angle_beta 90.00
_cell_angle_gamma 90.00
_symmetry_space_group_name_H-M 'F -4 3 m'
_symmetry_Int_Tables_number 216
_symmetry_space_group_name_Hall 'F -4 2 3'
loop_
_atom_site_label
_atom_site_type_symbol
_atom_site_fract_x
_atom_site_fract_y
_atom_site_fract_z
Ba1 Ba 0.0000 0.0000 0.0000
Tb1 Tb 0.0000 0.0000 0.5000
Pu1 Pu 0.2500 0.2500 0.7500
```



The following is a PBE calculation of an optimized crystal structure of BaPuTe, from OQMD.

Results
excess energy over the best structure of this formula in the dataset: 0.0000 eV per atom

Cell and atoms, written as CIF:
```
data_BaPuTe
_cell_length_a 7.8769
_cell_length_b 7.8769
_cell_length_c 7.8769
_cell_angle_alpha 90.00
_cell_angle_beta 90.00
_cell_angle_gamma 90.00
_symmetry_space_group_name_H-M 'F -4 3 m'
_symmetry_Int_Tables_number 216
_symmetry_space_group_name_Hall 'F -4 2 3'
loop_
_atom_site_label
_atom_site_type_symbol
_atom_site_fract_x
_atom_site_fract_y
_atom_site_fract_z
Ba1 Ba 0.0000 0.0000 0.0000
Pu1 Pu 0.0000 0.0000 0.5000
Te1 Te 0.2500 0.2500 0.2500
```



The following is a PBE calculation of an optimized crystal structure of BaPuTe, from OQMD.

Results
excess energy over the best structure of this formula in the dataset: 0.4991 eV per atom

Cell and atoms, written as CIF:
```
data_BaPuTe
_cell_length_a 7.9141
_cell_length_b 7.9141
_cell_length_c 7.9141
_cell_angle_alpha 90.00
_cell_angle_beta 90.00
_cell_angle_gamma 90.00
_symmetry_space_group_name_H-M 'F -4 3 m'
_symmetry_Int_Tables_number 216
_symmetry_space_group_name_Hall 'F -4 2 3'
loop_
_atom_site_label
_atom_site_type_symbol
_atom_site_fract_x
_atom_site_fract_y
_atom_site_fract_z
Ba1 Ba 0.0000 0.0000 0.0000
Pu1 Pu 0.2500 0.2500 0.7500
Te1 Te 0.2500 0.2500 0.2500
```



The following is a PBE calculation of an optimized crystal structure of BaPuTh, from OQMD.

Results
excess energy over the best structure of this formula in the dataset: 0.0000 eV per atom

Cell and atoms, written as CIF:
```
data_BaPuTh
_cell_length_a 7.7381
_cell_length_b 7.7381
_cell_length_c 7.7381
_cell_angle_alpha 90.00
_cell_angle_beta 90.00
_cell_angle_gamma 90.00
_symmetry_space_group_name_H-M 'F -4 3 m'
_symmetry_Int_Tables_number 216
_symmetry_space_group_name_Hall 'F -4 2 3'
loop_
_atom_site_label
_atom_site_type_symbol
_atom_site_fract_x
_atom_site_fract_y
_atom_site_fract_z
Ba1 Ba 0.0000 0.0000 0.0000
Pu1 Pu 0.2500 0.2500 0.2500
Th1 Th 0.0000 0.0000 0.5000
```



The following is a PBE calculation of an optimized crystal structure of BaTmPu, from OQMD.

Results
excess energy over the best structure of this formula in the dataset: 0.0000 eV per atom

Cell and atoms, written as CIF:
```
data_BaTmPu
_cell_length_a 7.9931
_cell_length_b 7.9931
_cell_length_c 7.9931
_cell_angle_alpha 90.00
_cell_angle_beta 90.00
_cell_angle_gamma 90.00
_symmetry_space_group_name_H-M 'F -4 3 m'
_symmetry_Int_Tables_number 216
_symmetry_space_group_name_Hall 'F -4 2 3'
loop_
_atom_site_label
_atom_site_type_symbol
_atom_site_fract_x
_atom_site_fract_y
_atom_site_fract_z
Ba1 Ba 0.0000 0.0000 0.0000
Tm1 Tm 0.0000 0.0000 0.5000
Pu1 Pu 0.2500 0.2500 0.2500
```



The following is a PBE calculation of an optimized crystal structure of BaPuW, from OQMD.

Results
excess energy over the best structure of this formula in the dataset: 0.0000 eV per atom

Cell and atoms, written as CIF:
```
data_BaPuW
_cell_length_a 7.1418
_cell_length_b 7.1418
_cell_length_c 7.1418
_cell_angle_alpha 90.00
_cell_angle_beta 90.00
_cell_angle_gamma 90.00
_symmetry_space_group_name_H-M 'F -4 3 m'
_symmetry_Int_Tables_number 216
_symmetry_space_group_name_Hall 'F -4 2 3'
loop_
_atom_site_label
_atom_site_type_symbol
_atom_site_fract_x
_atom_site_fract_y
_atom_site_fract_z
Ba1 Ba 0.0000 0.0000 0.0000
Pu1 Pu 0.0000 0.0000 0.5000
W1 W 0.2500 0.2500 0.7500
```



The following is a PBE calculation of an optimized crystal structure of BaPuW, from OQMD.

Results
excess energy over the best structure of this formula in the dataset: 0.6871 eV per atom

Cell and atoms, written as CIF:
```
data_BaPuW
_cell_length_a 6.6976
_cell_length_b 6.6976
_cell_length_c 6.6976
_cell_angle_alpha 90.00
_cell_angle_beta 90.00
_cell_angle_gamma 90.00
_symmetry_space_group_name_H-M 'F -4 3 m'
_symmetry_Int_Tables_number 216
_symmetry_space_group_name_Hall 'F -4 2 3'
loop_
_atom_site_label
_atom_site_type_symbol
_atom_site_fract_x
_atom_site_fract_y
_atom_site_fract_z
Ba1 Ba 0.0000 0.0000 0.0000
Pu1 Pu 0.2500 0.2500 0.7500
W1 W 0.2500 0.2500 0.2500
```



The following is a PBE calculation of an optimized crystal structure of BaPuZr, from OQMD.

Results
excess energy over the best structure of this formula in the dataset: 0.2126 eV per atom

Cell and atoms, written as CIF:
```
data_BaPuZr
_cell_length_a 7.3527
_cell_length_b 7.3527
_cell_length_c 7.3527
_cell_angle_alpha 90.00
_cell_angle_beta 90.00
_cell_angle_gamma 90.00
_symmetry_space_group_name_H-M 'F -4 3 m'
_symmetry_Int_Tables_number 216
_symmetry_space_group_name_Hall 'F -4 2 3'
loop_
_atom_site_label
_atom_site_type_symbol
_atom_site_fract_x
_atom_site_fract_y
_atom_site_fract_z
Ba1 Ba 0.0000 0.0000 0.0000
Pu1 Pu 0.2500 0.2500 0.7500
Zr1 Zr 0.2500 0.2500 0.2500
```



The following is a PBE calculation of an optimized crystal structure of BaPuZr, from OQMD.

Results
excess energy over the best structure of this formula in the dataset: 0.0000 eV per atom

Cell and atoms, written as CIF:
```
data_BaPuZr
_cell_length_a 7.5364
_cell_length_b 7.5364
_cell_length_c 7.5364
_cell_angle_alpha 90.00
_cell_angle_beta 90.00
_cell_angle_gamma 90.00
_symmetry_space_group_name_H-M 'F -4 3 m'
_symmetry_Int_Tables_number 216
_symmetry_space_group_name_Hall 'F -4 2 3'
loop_
_atom_site_label
_atom_site_type_symbol
_atom_site_fract_x
_atom_site_fract_y
_atom_site_fract_z
Ba1 Ba 0.0000 0.0000 0.0000
Pu1 Pu 0.0000 0.0000 0.5000
Zr1 Zr 0.2500 0.2500 0.2500
```



The following is a PBE calculation of an optimized crystal structure of RbBaRe, from OQMD.

Results
excess energy over the best structure of this formula in the dataset: 0.0000 eV per atom

Cell and atoms, written as CIF:
```
data_RbBaRe
_cell_length_a 7.8751
_cell_length_b 7.8751
_cell_length_c 7.8751
_cell_angle_alpha 90.00
_cell_angle_beta 90.00
_cell_angle_gamma 90.00
_symmetry_space_group_name_H-M 'F -4 3 m'
_symmetry_Int_Tables_number 216
_symmetry_space_group_name_Hall 'F -4 2 3'
loop_
_atom_site_label
_atom_site_type_symbol
_atom_site_fract_x
_atom_site_fract_y
_atom_site_fract_z
Rb1 Rb 0.0000 0.0000 0.0000
Ba1 Ba 0.0000 0.0000 0.5000
Re1 Re 0.2500 0.2500 0.7500
```